This record from Alexandria via LeMat-Bulk describes LaOsAu3 after structural relaxation. The functional is PBE.

Geometry as POSCAR:
```
LaOsAu3
1.0
5.032 0.000 0.000
0.000 5.032 0.000
0.000 0.000 5.032
La Os Au
1 1 3
direct
0.000 0.000 0.000
0.500 0.500 0.500
0.000 0.500 0.500
0.500 0.000 0.500
0.500 0.500 0.000
```

Summary:
Its crystal system is cubic. The space group is Pm-3m (221). For the total magnetization, the calculation gives 0.0 μB/f.u. The calculated density is 11.989 Mg/m³. The energy above the most stable polymorph in this dataset comes out at 0.000 eV per atom. Its total DFT energy (no corrections) is -0.3601 Ry per atom. The density of states at the Fermi level is 0.854 states/eV per atom.


This record from Alexandria via LeMat-Bulk describes BaLaSb2Pd2 after structural relaxation. The functional is PBE.

Geometry as POSCAR:
```
BaLaSb2Pd2
1.0
4.631 0.000 0.000
-2.316 4.011 0.000
0.000 0.000 9.123
Ba La Sb Pd
1 1 2 2
direct
0.000 0.000 0.000
0.000 0.000 0.500
0.333 0.667 0.269
0.667 0.333 0.731
0.333 0.667 0.723
0.667 0.333 0.277
```

Summary:
Its crystal system is trigonal. The space group is P-3m1 (164). The energy relative to the elements, uncorrected comes out at -1.04 eV per atom. For the total magnetization, the calculation gives 0.0 μB/f.u. The calculated density is 7.179 Mg/m³. Its total DFT energy (no corrections) is -0.3885 Ry per atom. The density of states at the Fermi level is 0.497 states/eV per atom.


This record from Alexandria via LeMat-Bulk describes NaPmP2Rh5 after structural relaxation. The functional is PBE.

Geometry as POSCAR:
```
NaPmP2Rh5
1.0
4.092 0.000 0.000
0.000 4.092 0.000
0.000 0.000 8.830
Na Pm P Rh
1 1 2 5
direct
0.000 0.000 0.000
0.000 0.000 0.500
0.500 0.500 0.137
0.500 0.500 0.863
0.000 0.500 0.255
0.000 0.500 0.745
0.500 0.000 0.255
0.500 0.000 0.745
0.500 0.500 0.500
```

Summary:
Its crystal system is tetragonal. The space group is P4/mmm (123). For the total magnetization, the calculation gives 0.0 μB/f.u. The calculated density is 8.361 Mg/m³. Its total DFT energy (no corrections) is -0.4855 Ry per atom. The density of states at the Fermi level is 0.621 states/eV per atom.


This record from Alexandria via LeMat-Bulk describes KAs2N2 after structural relaxation. The functional is PBE.

Geometry as POSCAR:
```
KAs2N2
1.0
7.477 0.000 0.000
0.000 7.477 0.000
0.000 0.000 3.064
K As N
2 4 4
direct
0.000 0.000 0.000
0.500 0.500 0.000
0.111 0.389 0.500
0.389 0.889 0.500
0.611 0.111 0.500
0.889 0.611 0.500
0.120 0.620 0.000
0.380 0.120 0.000
0.620 0.880 0.000
0.880 0.380 0.000
```

Summary:
Its crystal system is tetragonal. The space group is P4/mbm (127). The energy relative to the elements, uncorrected comes out at 1.07 eV per atom. For the total magnetization, the calculation gives 0.0 μB/f.u. The calculated density is 4.207 Mg/m³. The energy above the most stable polymorph in this dataset comes out at 0.405 eV per atom. Its total DFT energy (no corrections) is -0.3193 Ry per atom. The density of states at the Fermi level is 0.399 states/eV per atom.


This record from Alexandria via LeMat-Bulk describes BaCuSi after structural relaxation. The functional is PBE.

Geometry as POSCAR:
```
BaCuSi
1.0
3.664 0.000 0.000
0.000 5.218 0.000
0.000 0.000 8.742
Ba Cu Si
2 2 2
direct
0.000 0.000 0.000
0.500 0.500 0.500
0.000 0.000 0.626
0.500 0.500 0.126
0.000 0.000 0.363
0.500 0.500 0.863
```

Summary:
Its crystal system is orthorhombic. The space group is Imm2 (44). The energy relative to the elements, uncorrected comes out at 0.29 eV per atom. For the total magnetization, the calculation gives 0.0 μB/f.u. The calculated density is 4.550 Mg/m³. Its total DFT energy (no corrections) is -0.2591 Ry per atom. The density of states at the Fermi level is 0.396 states/eV per atom.


This record from Alexandria via LeMat-Bulk describes SrPAu2 after structural relaxation. The functional is PBE.

Geometry as POSCAR:
```
SrPAu2
1.0
4.511 0.000 0.000
0.000 4.272 0.000
-0.022 0.000 5.358
Sr P Au
1 1 2
direct
0.000 0.000 0.000
0.497 0.500 0.785
0.499 0.000 0.562
0.502 0.500 0.237
```

Summary:
Its crystal system is monoclinic. The space group is Pm (6). For the total magnetization, the calculation gives 0.0 μB/f.u. The calculated density is 8.243 Mg/m³. Its total DFT energy (no corrections) is -0.2894 Ry per atom. The density of states at the Fermi level is 0.457 states/eV per atom.


- Which value of calculated density does entry 5 give?
  4.550 Mg/m³


- Which value of total magnetization does entry 4 give?
  0.0 μB/f.u.